Density functional theory data (GGA-PBEsol) for crystalline RePBr2 at its relaxed geometry.

The space group is I-42d (No. 122) and the conventional cell measures 9.082, 9.082 and 4.516 Å, with angles of 90.00, 90.00 and 90.00 degrees. Symmetry generates all atoms from Re at (0.000, 0.000, 0.000), P at (0.000, 0.000, 0.500) and Br at (0.114, 0.750, 0.125).

The value obtained for the energy above the most stable polymorph in this dataset is 0.0000 eV/atom.